7
Lattice="2.409 1.391 8.623 -2.409 1.391 8.623 0.000 -2.782 8.623" Properties=species:S:1:pos:R:3 comment="SmSc2In2Hg2 PBE optimized geometry" m_tot_mub_per_cell=0.013 e_form_ev_per_atom=-0.281 e_tot_ev_per_cell=-25.43 spacegroup="R-3m (166)" mass_density_g_cm3=8.34 pbc="T T T"
Sm 0.000 0.000 0.000
Sc 0.000 0.000 3.520
Sc 0.000 0.000 22.348
In 0.000 0.000 6.848
In 0.000 0.000 19.020
Hg 0.000 0.000 11.330
Hg 0.000 0.000 14.538

***

8
Lattice="6.241 0.000 0.000 -3.120 5.405 0.000 0.000 0.000 4.592" Properties=species:S:1:pos:R:3 comment="DyHoGa6 PBE optimized geometry" m_tot_mub_per_cell=0.000 e_form_ev_per_atom=-0.527 e_tot_ev_per_cell=-31.56 spacegroup="P-6m2 (187)" mass_density_g_cm3=7.99 pbc="T T T"
Dy 0.000 0.000 0.000
Ho 3.120 1.802 2.296
Ga -1.382 2.805 0.000
Ga 0.000 2.010 2.296
Ga -1.380 4.400 2.296
Ga 1.382 2.805 0.000
Ga 0.000 5.199 0.000
Ga 1.380 4.400 2.296

***

4
Lattice="1.648 0.952 7.510 -1.648 0.952 7.510 0.000 -1.903 7.510" Properties=species:S:1:pos:R:3 comment="Hf2PbN PBE optimized geometry" m_tot_mub_per_cell=0.000 e_tot_ev_per_cell=-35.26 spacegroup="R-3m (166)" mass_density_g_cm3=13.59 pbc="T T T"
Hf 0.000 0.000 4.974
Hf 0.000 0.000 17.555
Pb 0.000 0.000 0.000
N 0.000 0.000 11.264

***

16
Lattice="7.116 0.000 0.000 0.000 9.928 0.000 0.000 0.000 6.437" Properties=species:S:1:pos:R:3 comment="Nd3Co PBE optimized geometry" m_tot_mub_per_cell=0.000 e_form_ev_per_atom=-0.063 e_tot_ev_per_cell=-86.65 spacegroup="Pnma (62)" mass_density_g_cm3=7.18 pbc="T T T"
Nd 0.323 2.482 0.958
Nd 1.209 0.698 4.352
Nd 1.209 4.266 4.352
Nd 2.349 5.662 1.134
Nd 2.349 9.230 1.134
Nd 3.236 7.446 4.176
Nd 3.881 2.482 2.261
Nd 4.767 0.698 5.303
Nd 4.767 4.266 5.303
Nd 5.907 5.662 2.084
Nd 5.907 9.230 2.084
Nd 6.794 7.446 5.479
Co 0.826 7.446 2.827
Co 2.732 2.482 6.046
Co 4.384 7.446 0.391
Co 6.290 2.482 3.610

***

5
Lattice="4.871 0.000 0.000 0.000 4.871 0.000 0.000 0.000 4.871" Properties=species:S:1:pos:R:3 comment="CaCuSe3 PBE optimized geometry" m_tot_mub_per_cell=0.000 e_tot_ev_per_cell=-18.96 spacegroup="Pm-3m (221)" mass_density_g_cm3=4.89 pbc="T T T"
Ca 0.000 0.000 0.000
Cu 2.436 2.436 2.436
Se 0.000 2.436 2.436
Se 2.436 0.000 2.436
Se 2.436 2.436 0.000

***

5
Lattice="4.665 0.000 0.000 0.000 4.665 0.000 0.000 0.000 4.665" Properties=species:S:1:pos:R:3 comment="MoPd3Se PBE optimized geometry" m_tot_mub_per_cell=4.008 e_tot_ev_per_cell=-26.59 spacegroup="Pm-3m (221)" mass_density_g_cm3=8.08 pbc="T T T"
Mo 0.000 0.000 0.000
Pd 0.000 2.333 2.333
Pd 2.333 0.000 2.333
Pd 2.333 2.333 0.000
Se 2.333 2.333 2.333

***

24
Lattice="8.942 0.000 0.000 0.000 15.342 0.000 0.000 0.000 4.284" Properties=species:S:1:pos:R:3 comment="CaPrGe4 PBE optimized geometry" m_tot_mub_per_cell=0.000 e_form_ev_per_atom=-0.387 e_tot_ev_per_cell=-110.28 spacegroup="Pbam (55)" mass_density_g_cm3=5.33 pbc="T T T"
Ca 1.259 1.336 0.000
Ca 3.212 9.007 0.000
Ca 5.730 6.335 0.000
Ca 7.684 14.006 0.000
Pr 1.106 5.678 0.000
Pr 3.365 13.349 0.000
Pr 5.578 1.993 0.000
Pr 7.836 9.664 0.000
Ge 0.644 3.346 2.142
Ge 1.001 14.257 2.142
Ge 1.153 8.102 2.142
Ge 1.380 10.609 2.142
Ge 3.092 2.938 2.142
Ge 3.318 0.431 2.142
Ge 3.471 6.586 2.142
Ge 3.827 11.017 2.142
Ge 5.115 4.325 2.142
Ge 5.472 8.756 2.142
Ge 5.624 14.911 2.142
Ge 5.851 12.404 2.142
Ge 7.563 4.733 2.142
Ge 7.789 7.240 2.142
Ge 7.942 1.085 2.142
Ge 8.298 11.996 2.142

***

10
Lattice="3.741 0.000 0.000 0.000 3.741 0.000 0.000 0.000 18.943" Properties=species:S:1:pos:R:3 comment="AcNd4Au5 PBE optimized geometry" m_tot_mub_per_cell=0.000 e_form_ev_per_atom=-0.760 e_tot_ev_per_cell=-47.17 spacegroup="P4/mmm (123)" mass_density_g_cm3=11.21 pbc="T T T"
Ac 0.000 0.000 0.000
Nd 0.000 0.000 3.896
Nd 0.000 0.000 7.617
Nd 0.000 0.000 11.326
Nd 0.000 0.000 15.047
Au 1.870 1.870 2.109
Au 1.870 1.870 5.750
Au 1.870 1.870 9.471
Au 1.870 1.870 13.193
Au 1.870 1.870 16.834

***

16
Lattice="10.983 0.000 0.000 0.000 7.092 0.000 0.000 0.000 6.132" Properties=species:S:1:pos:R:3 comment="Er4Tm3Sc PBE optimized geometry" m_tot_mub_per_cell=0.005 e_form_ev_per_atom=0.006 e_tot_ev_per_cell=-75.91 spacegroup="Pmn2_1 (31)" mass_density_g_cm3=8.49 pbc="T T T"
Er 0.000 0.901 0.000
Er 0.000 6.194 3.038
Er 2.711 6.189 5.109
Er 2.781 0.903 2.043
Er 5.491 0.898 6.104
Er 5.491 6.191 3.066
Er 8.202 0.903 2.043
Er 8.272 6.189 5.109
Tm 0.000 2.673 3.049
Tm 2.740 2.676 5.085
Tm 2.752 4.416 2.019
Tm 5.491 4.419 6.115
Tm 8.231 4.416 2.019
Tm 8.243 2.676 5.085
Sc 0.000 4.423 6.114
Sc 5.491 2.669 3.048

***

10
Lattice="-3.032 3.032 5.780 3.032 -3.032 5.780 3.032 3.032 -5.780" Properties=species:S:1:pos:R:3 comment="Rb2SbPF6 PBE optimized geometry" m_tot_mub_per_cell=0.000 e_tot_ev_per_cell=-42.96 spacegroup="I4/mmm (139)" mass_density_g_cm3=3.42 pbc="T T T"
Rb 3.032 0.000 2.890
Rb 0.000 3.032 2.890
Sb 0.000 0.000 0.000
P 0.000 0.000 5.780
F 0.000 0.000 2.170
F 1.554 1.554 0.000
F 1.479 -1.479 5.780
F -1.479 1.479 5.780
F 1.479 1.479 5.780
F 0.000 0.000 9.390

***

16
Lattice="8.752 0.000 0.000 0.000 8.435 0.000 0.000 0.000 5.549" Properties=species:S:1:pos:R:3 comment="Tm4CSe3 PBE optimized geometry" m_tot_mub_per_cell=0.001 e_tot_ev_per_cell=-94.66 spacegroup="Pmn2_1 (31)" mass_density_g_cm3=7.50 pbc="T T T"
Tm 0.000 0.695 0.000
Tm 0.000 6.881 2.903
Tm 1.965 5.788 0.027
Tm 2.412 2.647 2.801
Tm 4.376 1.554 0.128
Tm 4.376 7.740 2.774
Tm 6.341 2.647 2.801
Tm 6.788 5.788 0.027
C 0.000 6.862 5.314
C 4.376 1.573 2.539
Se 0.000 1.156 2.795
Se 1.931 2.923 0.040
Se 2.445 5.512 2.814
Se 4.376 7.280 0.020
Se 6.308 5.512 2.814
Se 6.821 2.923 0.040

***

4
Lattice="2.906 -3.993 0.000 2.906 3.993 0.000 0.000 0.000 3.693" Properties=species:S:1:pos:R:3 comment="SbPt2Br PBE optimized geometry" m_tot_mub_per_cell=0.000 e_tot_ev_per_cell=-17.63 spacegroup="Cmmm (65)" mass_density_g_cm3=11.47 pbc="T T T"
Sb 0.000 0.000 0.000
Pt 2.906 2.127 1.847
Pt 2.906 -2.127 1.847
Br 2.906 0.000 0.000

***

14
Lattice="7.846 0.000 0.000 0.000 7.846 0.000 0.000 0.000 7.846" Properties=species:S:1:pos:R:3 comment="Na3Li3Ca PBE optimized geometry" m_tot_mub_per_cell=0.000 e_form_ev_per_atom=0.356 e_tot_ev_per_cell=-18.41 spacegroup="Pm-3n (223)" mass_density_g_cm3=0.89 pbc="T T T"
Na 0.000 1.962 3.923
Na 0.000 5.885 3.923
Na 1.962 3.923 0.000
Na 3.923 0.000 1.962
Na 3.923 0.000 5.885
Na 5.885 3.923 0.000
Li 0.000 3.923 1.962
Li 0.000 3.923 5.885
Li 1.962 0.000 3.923
Li 3.923 1.962 0.000
Li 3.923 5.885 0.000
Li 5.885 0.000 3.923
Ca 0.000 0.000 0.000
Ca 3.923 3.923 3.923

***

5
Lattice="6.417 0.000 0.000 0.000 6.417 0.000 0.000 0.000 4.630" Properties=species:S:1:pos:R:3 comment="Ba2TaSbCl PBE optimized geometry" m_tot_mub_per_cell=0.814 e_tot_ev_per_cell=-21.15 spacegroup="P4/mmm (123)" mass_density_g_cm3=5.34 pbc="T T T"
Ba 0.000 3.208 0.000
Ba 3.208 0.000 0.000
Ta 0.000 0.000 0.000
Sb 3.208 3.208 2.315
Cl 0.000 0.000 2.315

***

5
Lattice="4.951 0.000 0.000 0.000 4.951 0.000 0.000 0.000 4.951" Properties=species:S:1:pos:R:3 comment="Hf3TiTc PBE optimized geometry" m_tot_mub_per_cell=0.683 e_form_ev_per_atom=0.632 e_tot_ev_per_cell=-44.96 spacegroup="Pm-3m (221)" mass_density_g_cm3=9.32 pbc="T T T"
Hf 0.000 0.000 2.476
Hf 0.000 2.476 0.000
Hf 2.476 0.000 0.000
Ti 2.476 2.476 2.476
Tc 0.000 0.000 0.000

***

5
Lattice="5.425 0.000 0.000 0.000 5.425 0.000 0.000 0.000 5.425" Properties=species:S:1:pos:R:3 comment="Ca3SnIr PBE optimized geometry" m_tot_mub_per_cell=0.000 e_form_ev_per_atom=-0.262 e_tot_ev_per_cell=-20.18 spacegroup="Pm-3m (221)" mass_density_g_cm3=4.48 pbc="T T T"
Ca 0.000 0.000 2.713
Ca 0.000 2.713 0.000
Ca 2.713 0.000 0.000
Sn 2.713 2.713 2.713
Ir 0.000 0.000 0.000

***

7
Lattice="-2.207 2.207 7.617 2.207 -2.207 7.617 2.207 2.207 -7.617" Properties=species:S:1:pos:R:3 comment="LiLa2Pd4 PBE optimized geometry" m_tot_mub_per_cell=0.000 e_form_ev_per_atom=-0.548 e_tot_ev_per_cell=-36.38 spacegroup="I4/mmm (139)" mass_density_g_cm3=7.95 pbc="T T T"
Li 0.000 0.000 0.000
La 0.000 0.000 5.315
La 0.000 0.000 9.920
Pd 2.207 0.000 0.000
Pd 0.000 0.000 2.322
Pd 0.000 2.207 0.000
Pd 0.000 0.000 12.913

***

4
Lattice="4.296 0.000 0.000 -2.103 4.930 0.000 -0.062 -0.254 6.224" Properties=species:S:1:pos:R:3 comment="KLiSeBr PBE optimized geometry" m_tot_mub_per_cell=0.190 e_tot_ev_per_cell=-12.21 spacegroup="P1 (1)" mass_density_g_cm3=2.58 pbc="T T T"
K 0.000 0.000 0.000
Li 2.187 2.503 2.714
Se 0.041 2.910 1.468
Br -0.003 2.688 4.530

***

8
Lattice="-3.786 3.786 3.966 3.786 -3.786 3.966 3.786 3.786 -3.966" Properties=species:S:1:pos:R:3 comment="CsPtS2 PBE optimized geometry" m_tot_mub_per_cell=0.000 e_tot_ev_per_cell=-34.52 spacegroup="I-42d (122)" mass_density_g_cm3=5.73 pbc="T T T"
Cs 0.000 0.000 0.000
Cs 0.000 3.786 1.983
Pt 3.786 0.000 1.983
Pt 0.000 0.000 3.966
S 1.893 2.879 -0.992
S 4.694 1.893 0.992
S 1.893 0.908 2.975
S -0.908 1.893 4.958

***

13
Lattice="6.697 -6.002 0.000 6.697 6.002 0.000 -2.493 0.000 5.767" Properties=species:S:1:pos:R:3 comment="La2Pm3Nd8 PBE optimized geometry" m_tot_mub_per_cell=0.000 e_form_ev_per_atom=0.149 e_tot_ev_per_cell=-60.31 spacegroup="C2/m (12)" mass_density_g_cm3=6.69 pbc="T T T"
La 1.924 0.000 2.021
La 8.977 0.000 3.746
Pm 6.697 2.911 0.000
Pm 5.450 0.000 2.884
Pm 6.697 -2.911 0.000
Nd -1.160 0.000 4.507
Nd 3.595 3.060 1.875
Nd 2.271 0.000 5.485
Nd 7.306 3.060 3.892
Nd 3.595 -3.060 1.875
Nd 8.629 0.000 0.282
Nd 7.306 -3.060 3.892
Nd 12.061 0.000 1.260